Record 1
Here is TeWSe after structural relaxation from Alexandria. Energies are from PBE.

Cell: 3.4345 3.4345 29.2092 Å, 90.00 90.00 120.00°
Atoms (fractional coordinates):
1 Se 0.6667 0.3333 0.6754
2 Se 0.6667 0.3333 0.5629
3 Se 0.3333 0.6667 0.4371
4 Se 0.3333 0.6667 0.3246
5 Te 0.6667 0.3333 0.1932
6 Te 0.3333 0.6667 0.9346
7 Te 0.3333 0.6667 0.8068
8 Te 0.6667 0.3333 0.0654
9 W 0.3333 0.6667 0.1293
10 W 0.6667 0.3333 0.8707
11 W 0.6667 0.3333 0.3809
12 W 0.3333 0.6667 0.6191

- Space group: P-3m1, No. 164
- Offset from the most stable computed form: 30 meV per atom
- Final energy: -0.251 Ha/atom

Record 2
Here is LiCaTlIr after structural relaxation from Alexandria. Energies are from PBE.

Cell: 4.8191 4.8191 4.8191 Å, 60.00 60.00 60.00°
Atoms (fractional coordinates):
1 Tl 0.2500 0.2500 0.2500
2 Ca 0.7500 0.7500 0.7500
3 Ir 0.5000 0.5000 0.5000
4 Li 0.0000 0.0000 0.0000

- Space group: F-43m, No. 216
- DOS(E_F): 0.38 states/eV per atom
- ΔH_f (0 K): -70 kJ/mol of formula units
- Final energy: -0.146 Ha/atom

Record 3
Here is Tm3Zr2Sc after structural relaxation from Alexandria. Energies are from PBE.

Cell: 5.9459 8.8880 8.8952 Å, 136.34 90.00 90.00°
Atoms (fractional coordinates):
1 Tm 0.2500 0.5702 0.9283
2 Tm 0.7500 0.4298 0.0717
3 Tm 0.2500 0.1434 0.8569
4 Tm 0.2500 0.0727 0.4309
5 Tm 0.7500 0.8566 0.1431
6 Tm 0.7500 0.9273 0.5691
7 Zr 0.5000 0.2535 0.2536
8 Zr 0.0000 0.7465 0.7464
9 Zr 0.5000 0.7465 0.7464
10 Zr 0.0000 0.2535 0.2536
11 Sc 0.2500 0.6411 0.3591
12 Sc 0.7500 0.3589 0.6409

- Space group: P2_1/m, No. 11
- Offset from the most stable computed form: 51 meV per atom
- DOS(E_F): 1.51 states/eV per atom
- ΔH_f (0 K): 108 kJ/mol of formula units
- Final energy: -0.219 Ha/atom

Record 4
Here is ZrCu2Ru after structural relaxation from Alexandria. Energies are from PBE.

Cell: 4.9624 4.9624 4.9624 Å, 135.43 135.49 64.82°
Atoms (fractional coordinates):
1 Zr 0.2500 0.7500 0.5000
2 Ru 0.7500 0.2500 0.5000
3 Cu 0.5000 0.5000 0.0000
4 Cu 0.0000 0.0000 0.0000

- Space group: I4/mmm, No. 139
- Offset from the most stable computed form: 0 meV per atom
- DOS(E_F): 0.26 states/eV per atom
- ΔH_f (0 K): -86 kJ/mol of formula units
- Final energy: -0.247 Ha/atom

Record 5
Here is TbPmYN3 after structural relaxation from Alexandria. Energies are from PBE.

Cell: 3.4930 6.0566 9.1337 Å, 101.30 90.00 90.00°
Atoms (fractional coordinates):
1 Pm 0.7500 0.6614 0.7008
2 Pm 0.2500 0.3386 0.2992
3 N 0.7500 0.5377 0.1674
4 N 0.2500 0.7524 0.4979
5 N 0.7500 0.0360 0.1545
6 N 0.2500 0.4623 0.8326
7 N 0.7500 0.2476 0.5021
8 N 0.2500 0.9640 0.8455
9 Tb 0.2500 0.1547 0.6387
10 Tb 0.7500 0.8453 0.3613
11 Y 0.2500 0.7686 0.0448
12 Y 0.7500 0.2314 0.9552

- Space group: P2_1/m, No. 11
- Final energy: -0.301 Ha/atom

Record 6
Here is Ca3NdHf2As6 after structural relaxation from Alexandria. Energies are from PBE.

Cell: 7.0329 7.0329 7.2628 Å, 99.38 99.38 120.13°
Atoms (fractional coordinates):
1 As 0.0774 0.4309 0.2302
2 As 0.7224 0.7224 0.2276
3 As 0.5691 0.9226 0.7698
4 As 0.4309 0.0774 0.2302
5 As 0.9226 0.5691 0.7698
6 As 0.2776 0.2776 0.7724
7 Ca 0.5000 0.5000 0.5000
8 Ca 0.1607 0.8393 0.5000
9 Ca 0.8393 0.1607 0.5000
10 Hf 0.3321 0.6679 0.0000
11 Hf 0.6679 0.3321 0.0000
12 Nd 0.0000 0.0000 0.0000

- Space group: C2/m, No. 12
- DOS(E_F): 0.38 states/eV per atom
- ΔH_f (0 K): -1341 kJ/mol of formula units
- Final energy: -0.222 Ha/atom

Record 7
Here is Li2ReOsCl after structural relaxation from Alexandria. Energies are from PBE.

Cell: 3.8747 5.1658 3.8747 Å, 90.00 90.00 90.00°
Atoms (fractional coordinates):
1 Re 0.5000 0.5000 0.5000
2 Cl 0.0000 0.0000 0.0000
3 Os 0.0000 0.5000 0.0000
4 Li 0.5000 0.0000 0.0000
5 Li 0.0000 0.0000 0.5000

- Space group: P4/mmm, No. 123
- DOS(E_F): 0.68 states/eV per atom
- Final energy: -0.187 Ha/atom

Record 8
Here is Tl2SiW after structural relaxation from Alexandria. Energies are from PBE.

Cell: 4.9864 4.9864 4.9864 Å, 60.00 60.00 60.00°
Each line ends with the local moment (μB).
Atoms (fractional coordinates):
1 Tl 0.7500 0.7500 0.7500  0.01
2 Tl 0.2500 0.2500 0.2500  0.01
3 Si 0.0000 0.0000 0.0000  -0.01
4 W 0.5000 0.5000 0.5000  1.84

- Space group: Fm-3m, No. 225
- Offset from the most stable computed form: 904 meV per atom
- DOS(E_F): 1.17 states/eV per atom
- Final energy: -0.162 Ha/atom

Record 9
Here is DyNi2Ag after structural relaxation from Alexandria. Energies are from PBE.

Cell: 3.6986 4.1859 4.1859 Å, 90.00 90.00 90.00°
Atoms (fractional coordinates):
1 Ni 0.0000 0.0000 0.5000
2 Ni 0.0000 0.5000 0.0000
3 Dy 0.5000 0.0000 0.0000
4 Ag 0.5000 0.5000 0.5000

- Space group: P4/mmm, No. 123
- Offset from the most stable computed form: 0 meV per atom
- DOS(E_F): 0.32 states/eV per atom
- ΔH_f (0 K): -72 kJ/mol of formula units
- Final energy: -0.182 Ha/atom

Record 10
Here is YCo2W2 after structural relaxation from Alexandria. Energies are from PBE.

Cell: 7.5440 7.5440 2.7533 Å, 90.00 90.00 90.00°
Atoms (fractional coordinates):
1 W 0.3391 0.1609 0.5000
2 W 0.6609 0.8391 0.5000
3 W 0.8391 0.3391 0.5000
4 W 0.1609 0.6609 0.5000
5 Y 0.5000 0.5000 0.0000
6 Y 0.0000 0.0000 0.0000
7 Co 0.8743 0.6257 0.0000
8 Co 0.3743 0.8743 0.0000
9 Co 0.1257 0.3743 0.0000
10 Co 0.6257 0.1257 0.0000

- Space group: P4/mbm, No. 127
- Offset from the most stable computed form: 0 meV per atom
- DOS(E_F): 1.21 states/eV per atom
- ΔH_f (0 K): 147 kJ/mol of formula units
- Final energy: -0.331 Ha/atom

Record 11
Here is Pm2Ho3Sc2 after structural relaxation from Alexandria. Energies are from PBE.

Cell: 4.9507 6.0122 7.8047 Å, 97.64 90.00 114.31°
Atoms (fractional coordinates):
1 Pm 0.9271 0.8542 0.2770
2 Pm 0.0729 0.1458 0.7230
3 Ho 0.5000 0.0000 0.0000
4 Ho 0.3563 0.7125 0.5708
5 Ho 0.6437 0.2875 0.4292
6 Sc 0.2154 0.4307 0.1407
7 Sc 0.7846 0.5693 0.8593

- Space group: C2/m, No. 12
- Offset from the most stable computed form: 12 meV per atom
- DOS(E_F): 1.47 states/eV per atom
- ΔH_f (0 K): 31 kJ/mol of formula units
- Final energy: -0.187 Ha/atom

Record 12
Here is Na2SbCl8 after structural relaxation from Alexandria. Energies are from PBE.

Cell: 7.1707 10.7439 8.9199 Å, 127.03 116.83 90.00°
Each line ends with the local moment (μB).
Atoms (fractional coordinates):
1 Sb 0.0000 0.0000 0.0000  0.00
2 Cl 0.7353 0.0313 0.7472  0.00
3 Cl 0.1611 0.8903 0.7806  0.00
4 Cl 0.2647 0.9687 0.2528  0.00
5 Cl 0.6988 0.5108 0.0216  0.38
6 Cl 0.2647 0.2841 0.2528  0.00
7 Cl 0.3012 0.4892 0.9784  0.38
8 Cl 0.7353 0.7159 0.7472  0.00
9 Cl 0.8389 0.1097 0.2194  0.00
10 Na 0.3085 0.3022 0.6045  0.00
11 Na 0.6915 0.6978 0.3955  0.00

- Space group: C2/m, No. 12
- Offset from the most stable computed form: 0 meV per atom
- Final energy: -0.106 Ha/atom